Entry from Alexandria: an optimized crystal structure of CoPdNF2 (PBE+U).

Computed properties:
Space-group type = P4/mmm
Calculated volume = 73.3 Å³/f.u.
Polymorph energy (0 for the lowest one) = 277 meV/atom
Magnetic moment = 2.51 μB/cell
E = -21.48 eV per cell

a = 4.4604 Å, b = 4.4604 Å, c = 3.6831 Å
α = 90.00°, β = 90.00°, γ = 90.00°
With the nearest neighbours (Å) after each atom.
Fractional coordinates of all 5 atoms:
Co1 0.0000 0.0000 0.0000  8 F 2.89, 4 N 3.15
Pd1 0.5000 0.5000 0.5000  2 N 1.84
N1 0.5000 0.5000 0.0000  2 Pd 1.84
F1 0.0000 0.5000 0.5000  2 Pd 2.23
F2 0.5000 0.0000 0.5000  2 Pd 2.23